# Ca2ScCu, relaxed, DFT PBE
data_Ca2ScCu
_chemical_formula_sum 'Ca2 Sc1 Cu1'
_symmetry_space_group_name_H-M 'P 1'
_symmetry_Int_Tables_number 1
_symmetry_space_group_name_Hall 'P 1'
_cell_length_a 8.7185
_cell_length_b 8.7185
_cell_length_c 8.7185
_cell_angle_alpha 157.08
_cell_angle_beta 152.48
_cell_angle_gamma 36.11
loop_
_atom_site_label
_atom_site_type_symbol
_atom_site_fract_x
_atom_site_fract_y
_atom_site_fract_z
_atom_site_occupancy
Sc1 Sc 0.2500 0.7500 0.5000 1
Ca1 Ca 0.9113 0.9113 0.0000 1
Ca2 Ca 0.5887 0.5887 0.0000 1
Cu1 Cu 0.7500 0.2500 0.5000 1
# **Energy above the lowest structure with this stoichiometry**: 0.1210 eV per atom
# **Total moment**: 0.0 μB per formula unit
# **E_tot**: -3.508 eV per atom
# **ΔH_f (0 K)**: 0.4 eV/f.u.
# **Symmetry**: Immm, No. 71